22
Lattice="4.846 2.798 3.937 -4.846 2.798 3.937 0.000 -5.595 3.937" Properties=species:S:1:pos:R:3 comment="PBEsol Sr4IrO6, optimized geometry" dft_energy_ev_per_atom=-6.737 crystal_system=trigonal magnetic_moment_mub_per_fu=1.03 pbc="T T T"
Sr -3.073 0.272 4.921
Sr 0.000 0.000 2.953
Sr -1.772 -2.526 6.890
Sr 1.301 -2.798 4.921
Sr -1.301 2.798 6.890
Sr 1.772 2.526 4.921
Sr 0.000 0.000 8.859
Sr 3.073 -0.272 6.890
Ir 0.000 0.000 0.000
Ir 0.000 0.000 5.906
O -4.203 -1.243 6.699
O -1.025 -4.262 5.113
O -1.025 -1.334 4.730
O -3.178 3.018 5.113
O -0.643 1.554 4.730
O -1.667 0.220 7.081
O 1.667 -0.220 4.730
O 0.643 -1.554 7.081
O 3.178 -3.018 6.699
O 1.025 1.334 7.081
O 1.025 4.262 6.699
O 4.203 1.243 5.113